1.
The following is a DFT calculation (PBE) of an optimized crystal structure of Ga2CuBi.

**Energy**: -3.4211 eV/atom

```
Ga2CuBi
1.0
-4.029 0.770 2.310
2.301 -0.257 4.099
0.512 8.267 2.934
Ga Cu Bi
4 2 2
direct
0.512 0.125 0.250
0.875 0.762 0.750
0.238 0.625 0.250
0.375 0.488 0.750
0.250 0.750 0.500
0.500 0.500 0.000
0.750 0.250 0.500
0.000 0.000 0.000
```


2.
The following is a DFT calculation (PBE) of an optimized crystal structure of Ga2Cu2Bi.

**Polymorph energy (0 for the lowest one)**: 70.6 meV per atom

```
Ga2Cu2Bi
1.0
-0.308 -5.067 5.583
6.869 2.115 2.299
-1.315 2.190 1.915
Ga Cu Bi
4 4 2
direct
0.161 0.661 0.500
0.839 0.339 0.500
0.339 0.161 0.500
0.661 0.839 0.500
0.124 0.376 0.000
0.624 0.124 0.000
0.376 0.876 0.000
0.876 0.624 0.000
0.500 0.500 0.000
0.000 0.000 0.000
```


3.
The following is a DFT calculation (PBE) of an optimized crystal structure of Ga2Cu2Bi.

**Polymorph energy (0 for the lowest one)**: 154.2 meV per atom

```
Ga2Cu2Bi
1.0
-1.277 -7.225 2.499
3.896 -2.795 -6.090
2.567 0.099 1.597
Cu Ga Bi
4 4 2
direct
0.156 0.656 0.500
0.344 0.156 0.500
0.656 0.844 0.500
0.844 0.344 0.500
0.632 0.132 0.000
0.132 0.368 0.000
0.368 0.868 0.000
0.868 0.632 0.000
0.500 0.500 0.000
0.000 0.000 0.000
```


4.
The following is a DFT calculation (PBE) of an optimized crystal structure of Ga2CuBi.

**Energy**: -3.4304 eV/atom

```
Ga2CuBi
1.0
-3.040 2.563 1.150
-1.940 -0.567 3.613
1.957 4.106 4.345
Ga Bi Cu
2 1 1
direct
0.053 0.053 0.852
0.279 0.279 0.154
0.500 0.500 0.498
0.668 0.668 0.995
```


5.
The following is a DFT calculation (PBE) of an optimized crystal structure of Ga2Cu2Bi.

**Polymorph energy (0 for the lowest one)**: 0.0 meV per atom

```
Ga2Cu2Bi
1.0
3.902 0.000 0.000
0.000 3.902 0.000
1.951 1.951 5.889
Bi Cu Ga
1 2 2
direct
0.000 0.000 0.000
0.393 0.393 0.213
0.607 0.607 0.787
0.250 0.750 0.500
0.750 0.250 0.500
```


6.
The following is a DFT calculation (PBE) of an optimized crystal structure of Ga2CuBi.

**Energy**: -3.3924 eV/atom

```
Ga2CuBi
1.0
3.378 0.000 0.000
1.689 2.925 0.000
1.689 0.975 8.971
Ga Cu Bi
2 1 1
direct
0.109 0.109 0.674
0.891 0.891 0.326
0.500 0.500 0.500
0.000 0.000 0.000
```


7.
The following is a DFT calculation (PBE) of an optimized crystal structure of Ga2CuBi.

**Energy**: -3.4071 eV/atom

```
Ga2CuBi
1.0
-0.781 -1.181 2.831
3.019 0.222 0.925
-1.397 7.526 2.755
Cu Bi Ga
1 1 2
direct
0.500 0.500 0.000
0.500 0.500 0.500
0.000 0.000 0.812
0.000 0.000 0.188
```


8.
The following is a DFT calculation (PBE) of an optimized crystal structure of Ga2CuBiI.

**Raw formation energy**: 809.4 meV/atom

```
Ga2CuBiI
1.0
-5.108 -2.117 1.457
1.692 -0.013 5.912
-2.032 5.312 0.593
Ga Bi Cu I
2 1 1 1
direct
0.000 0.000 0.500
0.500 0.000 0.000
0.000 0.000 0.000
0.500 0.500 0.500
0.000 0.500 0.000
```


Number 1: total magnetization 0.000 μB per atom. Number 2: total magnetization 0.000 μB per atom. Number 3: total magnetization 0.000 μB per atom. Number 4: total magnetization 0.000 μB per atom. Number 5: total magnetization 0.000 μB per atom. Number 6: total magnetization 0.000 μB per atom. Number 7: total magnetization 0.000 μB per atom. Number 8: total magnetization 0.000 μB per atom.